# LaCu7O12

Crystalline LaCu7O12 at its relaxed geometry (GGA-PBE, the Alexandria database).

It has space group Im-3 (No. 204), with a = 7.3776 Å, b = 7.3776 Å, c = 7.3776 Å, α = 90.00°, β = 90.00° and γ = 90.00°. The inequivalent atoms are La at (0.0000, 0.0000, 0.0000), Cu at (0.0000, 0.0000, 0.5000), Cu at (0.2500, 0.2500, 0.2500) and O at (0.0000, 0.1723, 0.3116).

Its uncorrected formation energy is -0.84 eV/atom. Its crystal system is cubic.



# Nd2Dy8Sc3

Crystalline Nd2Dy8Sc3 at its relaxed geometry (GGA-PBE, the Alexandria database).

It has space group C2/m (No. 12), with a = 14.7371 Å, b = 8.6903 Å, c = 6.5674 Å, α = 90.00°, β = 97.87° and γ = 90.00°. The inequivalent atoms are Nd at (0.2052, 0.0000, 0.2799), Dy at (0.0880, 0.5000, 0.8878), Dy at (0.1083, 0.3171, 0.4229), Dy at (0.1895, 0.0000, 0.7879), Sc at (0.0000, 0.0000, 0.5000) and Sc at (0.0000, 0.1635, 0.0000).

For the energy of formation, the calculation gives 0.254 eV/atom. Its crystal system is monoclinic.